Record 1
Compound: Mg2ZnNi
Source: Alexandria via LeMat-Bulk
Functional: GGA-PBEsol
Structure: optimized geometry

a = 4.190 Å, b = 5.295 Å, c = 5.295 Å
α = 32.30°, β = 90.00°, γ = 90.00°
Element x y z (fractional)
Mg (0.000, 0.000, 0.000)
Mg (0.500, 0.325, 0.325)
Zn (0.500, 0.603, 0.603)
Ni (0.000, 0.728, 0.728)

DOS(E_F) (states/eV per cell): 1.9
Energy relative to the elements (eV/atom): -0.1018
Space-group type: Amm2 (38)
E (eV for the cell shown): -11.6

Record 2
Compound: BeAlN2F
Source: Alexandria via LeMat-Bulk
Functional: GGA-PBEsol
Structure: optimized geometry

a = 3.731 Å, b = 3.731 Å, c = 3.553 Å
α = 90.00°, β = 90.00°, γ = 90.00°
Element x y z (fractional)
Be (0.000, 0.000, 0.000)
Al (0.500, 0.500, 0.500)
N (0.000, 0.500, 0.500)
N (0.500, 0.000, 0.500)
F (0.500, 0.500, 0.000)

DOS(E_F) (states/eV per cell): 2.4
Space-group type: P4/mmm (123)
E (eV for the cell shown): -27.4
Formation energy from raw total energies (eV/atom): -0.07

Record 3
Compound: HgRu
Source: Alexandria via LeMat-Bulk
Functional: GGA-PBEsol
Structure: optimized geometry

a = 4.910 Å, b = 4.910 Å, c = 4.910 Å
α = 131.42°, β = 131.42°, γ = 71.14°
Element x y z (fractional)
Hg (0.375, 0.625, 0.750)
Hg (0.625, 0.375, 0.250)
Ru (0.125, 0.875, 0.250)
Ru (0.875, 0.125, 0.750)

DOS(E_F) (states/eV per cell): 5.1
Energy relative to the elements (eV/atom): 0.6456
Space-group type: I4_1/amd (141)
E (eV for the cell shown): -18.9